! Mn5Cl12F3 PBE+U optimized geometry; values from VASP
! Space group: Ia-3d (230)
! Magnetic moment in Bohr magnetons per cell: 100.62
! Final energy in eV/atom: -4.035
&SYSTEM
  ibrav = 0, nat = 80, ntyp = 3
/
ATOMIC_SPECIES
Cl 35.45 Cl.upf
Mn 54.94 Mn.upf
F 19.00 F.upf
ATOMIC_POSITIONS crystal
Cl 0.929 0.103 0.618
Cl 0.397 0.015 0.326
Cl 0.429 0.311 0.326
Cl 0.674 0.485 0.603
Mn 0.750 0.125 0.875
Cl 0.826 0.897 0.015
Cl 0.985 0.603 0.174
Mn 0.250 0.875 0.125
Mn 0.750 0.625 0.375
Cl 0.485 0.674 0.103
Mn 0.250 0.375 0.625
Cl 0.174 0.071 0.689
Mn 0.375 0.250 0.125
Cl 0.397 0.382 0.571
Cl 0.103 0.174 0.485
Cl 0.689 0.571 0.174
Mn 0.875 0.250 0.625
Cl 0.811 0.326 0.929
Mn 0.500 0.500 0.500
Cl 0.326 0.515 0.397
Cl 0.689 0.118 0.015
Cl 0.882 0.311 0.485
Mn 0.000 0.500 0.000
Cl 0.071 0.897 0.382
Mn 0.000 0.000 0.500
Mn 0.500 0.500 0.000
F 0.750 0.375 0.125
Cl 0.882 0.571 0.897
F 0.625 0.375 0.750
F 0.375 0.750 0.625
Mn 0.500 0.000 0.500
Cl 0.311 0.429 0.826
Cl 0.071 0.174 0.189
Cl 0.311 0.882 0.985
Mn 0.125 0.375 0.250
F 0.875 0.125 0.250
Cl 0.015 0.397 0.826
Cl 0.571 0.689 0.674
Cl 0.326 0.811 0.429
Cl 0.985 0.382 0.311
Mn 0.500 0.000 0.000
Cl 0.382 0.397 0.071
Cl 0.811 0.485 0.382
F 0.250 0.625 0.875
Cl 0.571 0.882 0.397
F 0.625 0.250 0.375
Mn 0.125 0.750 0.375
F 0.875 0.750 0.125
Cl 0.897 0.826 0.515
Cl 0.485 0.811 0.882
Cl 0.603 0.985 0.674
Cl 0.429 0.118 0.603
Cl 0.929 0.826 0.811
Cl 0.897 0.071 0.882
F 0.750 0.875 0.625
Cl 0.118 0.689 0.515
Cl 0.826 0.929 0.311
Mn 0.875 0.625 0.750
Cl 0.618 0.015 0.189
Cl 0.103 0.929 0.118
Mn 0.625 0.875 0.250
Cl 0.515 0.326 0.897
F 0.125 0.250 0.875
Mn 0.625 0.750 0.875
Mn 0.000 0.500 0.500
Cl 0.189 0.515 0.618
Cl 0.515 0.189 0.118
Mn 0.000 0.000 0.000
Cl 0.603 0.618 0.429
Cl 0.618 0.603 0.929
Cl 0.015 0.618 0.689
Cl 0.189 0.674 0.071
Cl 0.674 0.189 0.571
Cl 0.118 0.429 0.103
F 0.125 0.875 0.750
Mn 0.375 0.125 0.750
F 0.375 0.625 0.250
F 0.250 0.125 0.375
Cl 0.174 0.103 0.985
Cl 0.382 0.985 0.811
CELL_PARAMETERS angstrom
-0.615 10.039 -9.421
-12.590 -5.257 1.939
4.713 5.137 11.887